Compound: HoTm5Sc3
Source: Alexandria
Functional: GGA-PBE
Structure: relaxed

abc: 11.3581 11.1576 9.4213
angles: 90.00 104.48 90.00
With the nearest neighbours (Å) after each atom.
Space group C2/m (No. 12)
One atom of each set of equivalent atoms:
Ho 0.2288 0.0000 0.2234  3 Sc 2.91-3.14, 2 Tm 3.07-3.21
Tm 0.0000 0.2567 0.0000  3 Sc 2.86-3.18
Tm 0.1294 0.2510 0.6494  2 Sc 3.20-3.29, 1 Ho 3.28, 2 Tm 3.35-3.53
Tm 0.2364 0.5000 0.4275  3 Sc 2.93-3.18, 1 Tm 3.17, 1 Ho 3.21
Tm 0.2480 0.5000 0.0944  1 Ho 3.07, 1 Tm 3.17, 4 Sc 3.18-3.25
Sc 0.0000 0.0000 0.0000  4 Tm 2.86-3.20, 2 Ho 2.91
Sc 0.0000 0.5000 0.5000  2 Tm 2.93, 2 Sc 3.05
Sc 0.0047 0.0000 0.3438  2 Sc 2.97-3.23, 1 Ho 3.04, 4 Tm 3.18-3.25
Sc 0.0079 0.5000 0.8260  2 Sc 3.05-3.33, 1 Ho 3.14, 5 Tm 3.18-3.22

Output
Raw total energy = -41.13 eV/f.u.
Calculated formation energy = 0.5338 eV per atom
Crystal system = monoclinic